--- w ---
DFT (PBE) results for KScRe after structural relaxation. Values from VASP.

The structure in Quantum ESPRESSO input format:
```
&SYSTEM
  ibrav = 0, nat = 3, ntyp = 3
/
ATOMIC_SPECIES
K 39.10 K.upf
Sc 44.96 Sc.upf
Re 186.21 Re.upf
CELL_PARAMETERS angstrom
0.000 3.438 3.438
3.438 0.000 3.438
3.438 3.438 0.000
ATOMIC_POSITIONS angstrom
K 0.000 0.000 0.000
Sc 3.438 3.438 3.438
Re 5.158 5.158 5.158
```

The crystal system is cubic.


--- x ---
DFT (PBE) results for KScRe after structural relaxation. Values from VASP.

The structure in Quantum ESPRESSO input format:
```
&SYSTEM
  ibrav = 0, nat = 3, ntyp = 3
/
ATOMIC_SPECIES
K 39.10 K.upf
Sc 44.96 Sc.upf
Re 186.21 Re.upf
CELL_PARAMETERS angstrom
0.000 3.422 3.422
3.422 0.000 3.422
3.422 3.422 0.000
ATOMIC_POSITIONS angstrom
K 0.000 0.000 0.000
Sc 5.133 5.133 5.133
Re 1.711 1.711 1.711
```

The crystal system is cubic.


--- y ---
DFT (PBE) results for KScRe after structural relaxation. Values from VASP.

The structure in Quantum ESPRESSO input format:
```
&SYSTEM
  ibrav = 0, nat = 3, ntyp = 3
/
ATOMIC_SPECIES
K 39.10 K.upf
Sc 44.96 Sc.upf
Re 186.21 Re.upf
CELL_PARAMETERS angstrom
5.210 0.000 0.000
-2.605 4.512 0.000
0.000 0.000 2.681
ATOMIC_POSITIONS angstrom
K 0.000 0.000 0.000
Sc 0.000 3.008 2.666
Re 2.605 1.504 1.331
```

The crystal system is trigonal.


--- z ---
DFT (PBE) results for KScRe after structural relaxation. Values from VASP.

The structure in Quantum ESPRESSO input format:
```
&SYSTEM
  ibrav = 0, nat = 3, ntyp = 3
/
ATOMIC_SPECIES
K 39.10 K.upf
Sc 44.96 Sc.upf
Re 186.21 Re.upf
CELL_PARAMETERS angstrom
0.000 2.461 8.524
1.656 0.000 8.524
1.656 2.461 0.000
ATOMIC_POSITIONS angstrom
K 0.000 0.000 0.000
Sc 1.656 2.461 12.146
Re 1.656 2.461 5.658
```

The crystal system is orthorhombic.


The calculated energies rank the structures as follows, beginning with the most stable: z, y, w, x.


--- w ---
DFT (PBE) results for KScRe after structural relaxation. Values from VASP.

The structure in Quantum ESPRESSO input format:
```
&SYSTEM
  ibrav = 0, nat = 3, ntyp = 3
/
ATOMIC_SPECIES
K 39.10 K.upf
Sc 44.96 Sc.upf
Re 186.21 Re.upf
CELL_PARAMETERS angstrom
-1.558 1.558 8.082
1.558 -1.558 8.082
1.558 1.558 -8.082
ATOMIC_POSITIONS angstrom
K 0.000 0.000 0.000
Sc 0.000 0.000 4.352
Re 0.000 0.000 10.801
```

The crystal system is tetragonal.


--- x ---
DFT (PBE) results for KScRe after structural relaxation. Values from VASP.

The structure in Quantum ESPRESSO input format:
```
&SYSTEM
  ibrav = 0, nat = 3, ntyp = 3
/
ATOMIC_SPECIES
K 39.10 K.upf
Sc 44.96 Sc.upf
Re 186.21 Re.upf
CELL_PARAMETERS angstrom
3.164 0.000 0.000
-1.582 2.740 0.000
0.000 0.000 8.434
ATOMIC_POSITIONS angstrom
K 0.000 0.000 0.000
Sc 0.000 1.827 4.747
Re 1.582 0.913 2.819
```

The crystal system is trigonal.


The calculated energies rank the structures as follows, beginning with the most stable: w, x.


--- w ---
DFT (PBE) results for K3ScRe after structural relaxation. Values from VASP.

The structure in Quantum ESPRESSO input format:
```
&SYSTEM
  ibrav = 0, nat = 5, ntyp = 3
/
ATOMIC_SPECIES
K 39.10 K.upf
Sc 44.96 Sc.upf
Re 186.21 Re.upf
CELL_PARAMETERS angstrom
6.085 0.000 0.000
0.000 6.085 0.000
0.000 0.000 6.085
ATOMIC_POSITIONS angstrom
K 0.000 0.000 3.042
K 0.000 3.042 0.000
K 3.042 0.000 0.000
Sc 3.042 3.042 3.042
Re 0.000 0.000 0.000
```

The crystal system is cubic.


--- x ---
DFT (PBE) results for K3ScRe after structural relaxation. Values from VASP.

The structure in Quantum ESPRESSO input format:
```
&SYSTEM
  ibrav = 0, nat = 5, ntyp = 3
/
ATOMIC_SPECIES
K 39.10 K.upf
Sc 44.96 Sc.upf
Re 186.21 Re.upf
CELL_PARAMETERS angstrom
6.907 0.000 0.000
0.000 6.907 0.000
0.000 0.000 6.907
ATOMIC_POSITIONS angstrom
K 0.000 0.000 3.454
K 0.000 3.454 0.000
K 3.454 0.000 0.000
Sc 0.000 0.000 0.000
Re 3.454 3.454 3.454
```

The crystal system is cubic.


The calculated energies rank the structures as follows, beginning with the most stable: w, x.


--- w ---
DFT (PBE) results for KReSn3 after structural relaxation. Values from VASP.

The structure in Quantum ESPRESSO input format:
```
&SYSTEM
  ibrav = 0, nat = 5, ntyp = 3
/
ATOMIC_SPECIES
K 39.10 K.upf
Re 186.21 Re.upf
Sn 118.71 Sn.upf
CELL_PARAMETERS angstrom
5.292 0.000 0.000
0.000 5.292 0.000
0.000 0.000 5.292
ATOMIC_POSITIONS angstrom
K 0.000 0.000 0.000
Re 2.646 2.646 2.646
Sn 0.000 2.646 2.646
Sn 2.646 0.000 2.646
Sn 2.646 2.646 0.000
```

The crystal system is cubic.


--- x ---
DFT (PBE) results for KReSn3 after structural relaxation. Values from VASP.

The structure in Quantum ESPRESSO input format:
```
&SYSTEM
  ibrav = 0, nat = 5, ntyp = 3
/
ATOMIC_SPECIES
K 39.10 K.upf
Re 186.21 Re.upf
Sn 118.71 Sn.upf
CELL_PARAMETERS angstrom
5.681 0.000 0.000
0.000 5.681 0.000
0.000 0.000 5.681
ATOMIC_POSITIONS angstrom
K 0.000 0.000 0.000
Re 2.841 2.841 2.841
Sn 0.000 0.000 2.841
Sn 0.000 2.841 0.000
Sn 2.841 0.000 0.000
```

The crystal system is cubic.


The calculated energies rank the structures as follows, beginning with the most stable: w, x.